Here is an optimized crystal structure of NdDyHo4Er2 from the Alexandria database. Energies are from PBE-GGA.

Its calculated density is 8.613 g cm⁻³. As for the magnetic moment: 0.000 μB/cell. The formation energy is 0.0179 eV/atom. The calculation puts the total energy at -4.583 eV/atom.

It has space group P2/m (No. 10), with a = 7.090 Å, b = 7.083 Å, c = 9.989 Å, α = 90.00°, β = 90.04° and γ = 90.00°. The inequivalent atoms are Nd at (0.000, 0.000, 0.000), Nd at (0.000, 0.500, 0.500), Dy at (0.000, 0.000, 0.500), Dy at (0.500, 0.000, 0.500), Ho at (0.252, 0.250, 0.249), Ho at (0.252, 0.250, 0.751), Er at (0.000, 0.500, 0.000), Er at (0.500, 0.000, 0.000), Er at (0.500, 0.500, 0.000) and Er at (0.500, 0.500, 0.500).